DFT (PBE-GGA) results for crystalline Ni2PSe at its relaxed geometry.

Lattice parameters (Å, degrees): 3.140 3.140 6.284 90.00 90.00 90.00
Atoms (fractional coordinates):
1 Ni 0.000 0.000 0.000
2 Ni 0.500 0.500 0.228
3 P 0.000 0.000 0.362
4 Se 0.500 0.500 0.842

DFT (PBE-GGA) results for crystalline Ni2PSe at its relaxed geometry.

Lattice parameters (Å, degrees): 5.006 5.006 5.006 138.85 138.85 59.61
Atoms (fractional coordinates):
1 Ni 0.000 0.000 0.000
2 Ni 0.750 0.250 0.500
3 P 0.250 0.750 0.500
4 Se 0.500 0.500 0.000

Summary of raw total energy in eV for the cell shown
-20.989 -19.743
(order as listed above)
Summary of energy relative to the elements, uncorrected in meV/atom
-133 178
(order as listed above)